Compound: NaTb2PuAu4
Source: Alexandria
Functional: PBE
Structure: relaxed

- magnetization (μB per cell) = 5.7
- energy of formation from the pure elements (eV/atom) = -0.603

a b c (Å): 8.7765 8.7765 8.7765
angles (deg): 33.76 33.76 33.76
Last column: nearest neighbours and their distance in Å.
Positions (direct):
Na  0.0000  0.0000  0.0000  8 Au 3.14-3.18
Tb  0.2542  0.2542  0.2542  8 Au 3.07-3.18
Tb  0.7458  0.7458  0.7458  8 Au 3.07-3.18
Pu  0.5000  0.5000  0.5000  8 Au 3.03-3.09
Au  0.1281  0.1281  0.1281  3 Pu 3.09, 4 Tb 3.13-3.18, 1 Na 3.18
Au  0.3779  0.3779  0.3779  1 Pu 3.03, 4 Tb 3.07, 3 Na 3.14
Au  0.6221  0.6221  0.6221  1 Pu 3.03, 4 Tb 3.07, 3 Na 3.14
Au  0.8719  0.8719  0.8719  3 Pu 3.09, 4 Tb 3.13-3.18, 1 Na 3.18

---

Compound: ScCdCl2
Source: Alexandria
Functional: PBE
Structure: relaxed

- magnetization (μB per cell) = 0.0
- excess energy over the best structure of this formula in the dataset (meV/atom) = 566
- uncorrected formation energy (eV/atom) = -0.72

a b c (Å): 3.4603 4.4310 5.7820
angles (deg): 90.00 90.00 90.00
Last column: nearest neighbours and their distance in Å.
Positions (direct):
Sc  0.0000  0.0000  0.0000  4 Cl 2.81
Cd  0.5000  0.0000  0.5000  4 Cl 2.81
Cl  0.0000  0.5000  0.5000  4 Cd 2.81
Cl  0.5000  0.5000  0.0000  4 Sc 2.81

---

Compound: Mn2ZnBr
Source: Alexandria
Functional: PBE
Structure: relaxed

- magnetization (μB per cell) = 7.3
- excess energy over the best structure of this formula in the dataset (meV/atom) = 25
- uncorrected formation energy (eV/atom) = 0.22

a b c (Å): 3.2798 3.2680 7.4329
angles (deg): 90.00 102.55 90.00
Last column: nearest neighbours and their distance in Å.
Positions (direct):
Mn  0.0000  0.0000  0.0000  4 Br 2.72, 1 Zn 2.74, 4 Mn 2.79
Mn  0.3943  0.5000  0.7851  4 Zn 2.60, 4 Mn 2.79
Zn  0.8144  0.0000  0.6230  5 Mn 2.60-2.74
Br  0.5965  0.5000  0.1972  5 Mn 2.72-2.99

---

Compound: La2BeCoAu
Source: Alexandria
Functional: PBE
Structure: relaxed

- magnetization (μB per cell) = 0.0
- energy of formation from the pure elements (eV/atom) = -0.278

a b c (Å): 5.2416 5.2416 4.2338
angles (deg): 90.00 90.00 90.00
Last column: nearest neighbours and their distance in Å.
Positions (direct):
La  0.0000  0.5000  0.0000  2 Co 2.62
La  0.5000  0.0000  0.0000  2 Co 2.62
Be  0.0000  0.0000  0.5000  2 Co 2.12
Co  0.0000  0.0000  0.0000  2 Be 2.12
Au  0.5000  0.5000  0.5000  8 La 3.37, 4 Be 3.71

---

Compound: Np2TlPdS4
Source: Alexandria
Functional: PBE
Structure: relaxed

- magnetization (μB per cell) = 14.0
- uncorrected formation energy (eV/atom) = -1.04

a b c (Å): 6.9623 6.9623 13.9759
angles (deg): 90.00 90.00 146.45
Last column: nearest neighbours and their distance in Å.
Positions (direct):
Np  0.1320  0.8680  0.5657  6 S 2.70-2.82
Np  0.1320  0.8680  0.9343  6 S 2.70-2.82
Np  0.8680  0.1320  0.0657  6 S 2.70-2.82
Np  0.8680  0.1320  0.4343  6 S 2.70-2.82
Tl  0.3871  0.6129  0.7500  6 S 3.16-3.34, 2 Pd 3.48
Tl  0.6129  0.3871  0.2500  6 S 3.16-3.34, 2 Pd 3.48
Pd  0.3259  0.6741  0.2500  4 S 2.41-2.45
Pd  0.6741  0.3259  0.7500  4 S 2.41-2.45
S  0.0695  0.9305  0.7500  2 Pd 2.45, 2 Np 2.71
S  0.2368  0.7632  0.1000  1 Pd 2.41
S  0.2368  0.7632  0.4000  1 Pd 2.41
S  0.5000  0.5000  0.0000  4 Np 2.82
S  0.5000  0.5000  0.5000  4 Np 2.82
S  0.7632  0.2368  0.6000  1 Pd 2.41
S  0.7632  0.2368  0.9000  1 Pd 2.41
S  0.9305  0.0695  0.2500  2 Pd 2.45, 2 Np 2.71

---

Compound: Nd5TmTh2
Source: Alexandria
Functional: PBE
Structure: relaxed

- magnetization (μB per cell) = 0.0
- energy of formation from the pure elements (eV/atom) = 0.108

a b c (Å): 8.9862 8.9862 8.9862
angles (deg): 157.19 101.01 83.53
Last column: nearest neighbours and their distance in Å.
Positions (direct):
Nd  0.0000  0.0000  0.0000  2 Th 3.47, 10 Nd 3.55-3.70
Nd  0.1104  0.3704  0.7400  3 Th 3.33-3.70, 7 Nd 3.48-3.70
Nd  0.3697  0.6296  0.7400  3 Th 3.33-3.70, 7 Nd 3.48-3.70
Nd  0.6303  0.3704  0.2600  3 Th 3.33-3.70, 7 Nd 3.48-3.70
Nd  0.8896  0.6296  0.2600  3 Th 3.33-3.70, 7 Nd 3.48-3.70
Tm  0.5000  0.0000  0.5000  2 Tm 3.55, 4 Th 3.69, 8 Nd 3.87
Th  0.2589  0.2589  0.0000  7 Nd 3.33-3.70, 2 Th 3.55, 2 Tm 3.69
Th  0.7411  0.7411  0.0000  7 Nd 3.33-3.70, 2 Th 3.55, 2 Tm 3.69

---

Compound: RbHgS2
Source: Alexandria
Functional: PBE
Structure: relaxed

- magnetization (μB per cell) = 0.0
- uncorrected formation energy (eV/atom) = -0.36

a b c (Å): 6.7563 6.7563 6.7563
angles (deg): 109.68 109.68 109.05
Last column: nearest neighbours and their distance in Å.
Positions (direct):
Rb  0.0000  0.0000  0.0000  8 S 3.41-3.75
Rb  0.7500  0.2500  0.5000  8 S 3.41-3.75
Hg  0.2500  0.7500  0.5000  4 S 2.52
Hg  0.5000  0.5000  0.0000  4 S 2.52
S  0.2123  0.6250  0.0873  2 Hg 2.52
S  0.3750  0.4623  0.5873  2 Hg 2.52
S  0.5377  0.1250  0.9127  2 Hg 2.52
S  0.8750  0.7877  0.4127  2 Hg 2.52

---

Compound: BeCuAs2
Source: Alexandria
Functional: PBE
Structure: relaxed

- magnetization (μB per cell) = 0.0
- energy of formation from the pure elements (eV/atom) = 0.160

a b c (Å): 3.0391 3.0391 7.3611
angles (deg): 90.00 90.00 90.00
Last column: nearest neighbours and their distance in Å.
Positions (direct):
Be  0.0000  0.0000  0.0000  4 Cu 2.43, 5 As 2.53-2.56
Cu  0.5000  0.5000  0.1530  4 Be 2.43, 5 As 2.47-2.58
As  0.0000  0.0000  0.3473  1 Be 2.56, 4 Cu 2.58
As  0.5000  0.5000  0.8180  1 Cu 2.47, 4 Be 2.53

---

Compound: KSrRu2
Source: Alexandria
Functional: PBE
Structure: relaxed

- magnetization (μB per cell) = 0.0
- energy of formation from the pure elements (eV/atom) = 0.552
- excess energy over the best structure of this formula in the dataset (meV/atom) = 150

a b c (Å): 3.0831 3.7647 9.6562
angles (deg): 90.00 91.20 90.00
Last column: nearest neighbours and their distance in Å.
Positions (direct):
K  0.0000  0.0000  0.0000  2 K 3.08, 1 Ru 3.38
Sr  0.5349  0.5000  0.5758  5 Ru 2.99-3.26, 2 Sr 3.08
Ru  0.0204  0.0000  0.3505  4 Ru 2.56-2.57
Ru  0.5162  0.5000  0.2665  4 Ru 2.56-2.57

---

Compound: NaCuPt
Source: Alexandria
Functional: PBE
Structure: relaxed

- magnetization (μB per cell) = 0.0
- energy of formation from the pure elements (eV/atom) = 0.021
- excess energy over the best structure of this formula in the dataset (meV/atom) = 243

a b c (Å): 4.5177 4.5177 2.7820
angles (deg): 90.00 90.00 120.00
Last column: nearest neighbours and their distance in Å.
Positions (direct):
Na  0.0000  0.0000  0.0000  2 Na 2.78, 6 Cu 2.94-2.97, 6 Pt 2.95-2.96
Cu  0.3333  0.6667  0.5125  3 Pt 2.61, 2 Cu 2.78
Pt  0.6667  0.3333  0.4939  3 Cu 2.61, 2 Pt 2.78

---

Compound: KGa2TcBr
Source: Alexandria
Functional: PBE
Structure: relaxed

- magnetization (μB per cell) = 3.5
- uncorrected formation energy (eV/atom) = 1.36

a b c (Å): 5.9196 5.9196 5.5918
angles (deg): 90.00 90.00 90.00
Last column: nearest neighbours and their distance in Å.
Positions (direct):
K  0.0000  0.0000  0.0000  2 Br 2.80, 4 Ga 2.96
Ga  0.0000  0.5000  0.0000  2 K 2.96
Ga  0.5000  0.0000  0.0000  2 K 2.96
Tc  0.5000  0.5000  0.5000  8 Ga 4.07, 4 Br 4.19
Br  0.0000  0.0000  0.5000  2 K 2.80

---

Compound: La2Al3ZnAu4
Source: Alexandria
Functional: PBE
Structure: relaxed

- magnetization (μB per cell) = 0.0
- energy of formation from the pure elements (eV/atom) = -0.714

a b c (Å): 4.5052 4.5052 10.4338
angles (deg): 90.00 90.00 90.00
Last column: nearest neighbours and their distance in Å.
Positions (direct):
La  0.0000  0.5000  0.2486  8 Au 3.41-3.46, 2 Zn 3.44, 6 Al 3.44
La  0.5000  0.0000  0.7514  8 Au 3.41-3.46, 6 Al 3.44, 2 Zn 3.44
Al  0.0000  0.0000  0.0000  4 Au 2.63
Al  0.0000  0.5000  0.6278  5 Au 2.52-2.62
Al  0.5000  0.0000  0.3722  5 Au 2.52-2.62
Zn  0.5000  0.5000  0.0000  4 Au 2.63
Au  0.0000  0.0000  0.5000  4 Al 2.62
Au  0.0000  0.5000  0.8691  3 Al 2.52-2.63, 2 Zn 2.63
Au  0.5000  0.0000  0.1309  3 Al 2.52-2.63, 2 Zn 2.63
Au  0.5000  0.5000  0.5000  4 Al 2.62